1.
{
  "formula": "Hf2F",
  "functional": "PBE-GGA",
  "state": "optimized geometry",
  "cell": [[0.0000, 4.0223, 4.0223], [4.0223, 0.0000, 4.0223], [4.0223, 4.0223, 0.0000]],
  "species": ["F", "F", "Hf", "Hf", "Hf", "Hf"],
  "frac_coords": [[0.0000, 0.0000, 0.0000], [0.2500, 0.2500, 0.2500], [0.6250, 0.6250, 0.1250], [0.6250, 0.1250, 0.6250], [0.1250, 0.6250, 0.6250], [0.6250, 0.6250, 0.6250]],
  "rho_g_cm3": 9.6,
  "total_energy_ev_per_atom": -6.7426,
  "magnetic_moment_mub_per_fu": 0.106
}

=====

2.
{
  "formula": "Hf5F",
  "functional": "PBE-GGA",
  "state": "optimized geometry",
  "cell": [[-4.6971, 2.6637, 1.9260], [-0.0011, -5.6951, -0.6590], [1.6570, -0.5571, 4.8114]],
  "species": ["F", "Hf", "Hf", "Hf", "Hf", "Hf"],
  "frac_coords": [[0.0000, 0.0000, 0.0000], [0.6667, 0.3333, 0.0000], [0.3333, 0.6667, 0.0000], [0.5000, 0.0000, 0.5000], [0.0000, 0.5000, 0.5000], [0.5000, 0.5000, 0.5000]],
  "rho_g_cm3": 10.4,
  "total_energy_ev_per_atom": -7.9071,
  "magnetic_moment_mub_per_fu": 0.007
}

=====

3.
{
  "formula": "HfF2",
  "functional": "PBE-GGA",
  "state": "optimized geometry",
  "cell": [[5.5782, 0.0000, 0.0000], [0.0000, 5.5782, 0.0000], [0.0000, 0.0000, 2.7208]],
  "species": ["F", "F", "F", "F", "Hf", "Hf"],
  "frac_coords": [[0.2745, 0.2745, 0.0000], [0.7255, 0.7255, 0.0000], [0.7745, 0.2255, 0.5000], [0.2255, 0.7745, 0.5000], [0.0000, 0.0000, 0.0000], [0.5000, 0.5000, 0.5000]],
  "rho_g_cm3": 8.5,
  "total_energy_ev_per_atom": -7.0519,
  "relative_energy_ev_per_fu": 0.00,
  "magnetic_moment_mub_per_fu": 0.001
}

=====

4.
{
  "formula": "Ho3Hf4F",
  "functional": "PBE-GGA",
  "state": "optimized geometry",
  "cell": [[-2.5735, -4.6412, 5.0193], [-7.2955, 0.1034, 0.3498], [4.7576, -0.6789, -5.5010]],
  "species": ["F", "Hf", "Hf", "Hf", "Hf", "Ho", "Ho", "Ho"],
  "frac_coords": [[0.0000, 0.0000, 0.0000], [0.1694, 0.1694, 0.0000], [0.8306, 0.8306, 0.0000], [0.5000, 0.0000, 0.5000], [0.0000, 0.5000, 0.5000], [0.5000, 0.5000, 0.0000], [0.7500, 0.2500, 0.5000], [0.2500, 0.7500, 0.5000]],
  "rho_g_cm3": 10.1,
  "total_energy_ev_per_atom": -6.5363,
  "magnetic_moment_mub_per_fu": 0.012
}

=====

5.
{
  "formula": "Ho3HfF",
  "functional": "PBE-GGA",
  "state": "optimized geometry",
  "cell": [[-4.7475, 0.8338, -0.2841], [-0.8669, -4.6990, 0.6947], [-0.1565, 0.7341, 4.7698]],
  "species": ["F", "Hf", "Ho", "Ho", "Ho"],
  "frac_coords": [[0.5000, 0.5000, 0.5000], [0.0000, 0.0000, 0.0000], [0.5000, 0.5000, 0.0000], [0.5000, 0.0000, 0.5000], [0.0000, 0.5000, 0.5000]],
  "rho_g_cm3": 10.2,
  "total_energy_ev_per_atom": -5.9304,
  "magnetic_moment_mub_per_fu": 0.091
}

=====

6.
{
  "formula": "La2HfF8",
  "functional": "PBE-GGA",
  "state": "optimized geometry",
  "cell": [[0.3968, 0.0686, 6.9407], [-2.0261, 5.6634, 3.4866], [-2.4384, -4.1521, -5.0150]],
  "species": ["F", "F", "F", "F", "F", "F", "F", "F", "Hf", "La", "La"],
  "frac_coords": [[0.7653, 0.3051, 0.1449], [0.0864, 0.3958, 0.1758], [0.0894, 0.9136, 0.3094], [0.6949, 0.8398, 0.4602], [0.3796, 0.2347, 0.5398], [0.6042, 0.7800, 0.6906], [0.2200, 0.9106, 0.8242], [0.1602, 0.6204, 0.8551], [0.0000, 0.0000, 0.0000], [0.3255, 0.3255, 0.0000], [0.6745, 0.6745, 0.0000]],
  "rho_g_cm3": 6.9,
  "total_energy_ev_per_atom": -6.7142,
  "magnetic_moment_mub_per_fu": 0.000
}

=====

7.
{
  "formula": "Na2LiHfF6",
  "functional": "PBE-GGA",
  "state": "optimized geometry",
  "cell": [[-2.6975, -0.0601, -4.5238], [4.9658, -0.3724, -2.9562], [2.0268, -7.4451, 4.3425]],
  "species": ["F", "F", "F", "F", "F", "F", "F", "F", "F", "F", "F", "F", "Hf", "Hf", "Li", "Li", "Na", "Na", "Na", "Na"],
  "frac_coords": [[0.3572, 0.1795, 0.0364], [0.2291, 0.7063, 0.0465], [0.8756, 0.5597, 0.2468], [0.1244, 0.0597, 0.2532], [0.7709, 0.2063, 0.4535], [0.6428, 0.6795, 0.4636], [0.3572, 0.3205, 0.5364], [0.2291, 0.7937, 0.5465], [0.8756, 0.9403, 0.7468], [0.1244, 0.4403, 0.7532], [0.7709, 0.2937, 0.9535], [0.6428, 0.8205, 0.9636], [0.5000, 0.5000, 0.0000], [0.5000, 0.0000, 0.5000], [0.0000, 0.0000, 0.0000], [0.0000, 0.5000, 0.5000], [0.7194, 0.9429, 0.2406], [0.2806, 0.4429, 0.2594], [0.7194, 0.5571, 0.7406], [0.2806, 0.0571, 0.7594]],
  "rho_g_cm3": 5.0,
  "total_energy_ev_per_atom": -5.5435,
  "magnetic_moment_mub_per_fu": 1.002
}

=====

8.
{
  "formula": "HfSnNOF",
  "functional": "PBE-GGA",
  "state": "optimized geometry",
  "cell": [[-0.0512, -3.1476, 2.3570], [1.1224, -2.3711, -3.1420], [4.3282, 0.6948, 1.0218]],
  "species": ["F", "Hf", "N", "O", "Sn"],
  "frac_coords": [[0.0000, 0.5000, 0.8297], [0.0000, 0.5000, 0.3882], [0.0000, 0.0000, 0.2698], [0.5000, 0.5000, 0.2620], [0.5000, 0.0000, 0.9975]],
  "rho_g_cm3": 7.9,
  "total_energy_ev_per_atom": -7.7820,
  "magnetic_moment_mub_per_fu": 0.001
}